# PBE-GGA Si2TcRu2, relaxed
# Energy above the most stable polymorph in this dataset: 0 meV per atom
# Uncorrected energy: -8.332 eV/atom
# Formation energy from raw total energies: -0.379 eV per atom
data_Si2TcRu2
_cell_length_a 6.940
_cell_length_b 6.940
_cell_length_c 2.779
_cell_angle_alpha 90.00
_cell_angle_beta 90.00
_cell_angle_gamma 90.00
_space_group_name_H-M_alt 'P 4/m b m'
_space_group_IT_number 127
_space_group_name_Hall '-P 4 2ab'
loop_
_atom_site_label
_atom_site_type_symbol
_atom_site_fract_x
_atom_site_fract_y
_atom_site_fract_z
Si1 Si 0.145 0.355 0.000
Tc1 Tc 0.000 0.000 0.000
Ru1 Ru 0.155 0.655 0.500